i | # Ag2Pt2Au GGA-PBE relaxed
# - Fermi-level density of states (states/eV/atom) = 0.638
data_Ag2Pt2Au
_symmetry_space_group_name_H-M 'P 4/m b m'
_symmetry_Int_Tables_number 127
_symmetry_space_group_name_Hall '-P 4 2ab'
_cell_length_a 7.894
_cell_length_b 7.894
_cell_length_c 2.876
_cell_angle_alpha 90.00
_cell_angle_beta 90.00
_cell_angle_gamma 90.00
loop_
_atom_site_label
_atom_site_type_symbol
_atom_site_fract_x
_atom_site_fract_y
_atom_site_fract_z
_atom_site_occupancy
Ag1 Ag 0.176 0.324 0.000 1
Pt1 Pt 0.122 0.622 0.500 1
Au1 Au 0.000 0.000 0.500 1


ii | # Ag2Pt2Au GGA-PBE relaxed
# - Fermi-level density of states (states/eV/atom) = 1.087
data_Ag2Pt2Au
_symmetry_space_group_name_H-M 'I 4/m m m'
_symmetry_Int_Tables_number 139
_symmetry_space_group_name_Hall '-I 4 2'
_cell_length_a 3.750
_cell_length_b 3.750
_cell_length_c 13.346
_cell_angle_alpha 90.00
_cell_angle_beta 90.00
_cell_angle_gamma 90.00
loop_
_atom_site_label
_atom_site_type_symbol
_atom_site_fract_x
_atom_site_fract_y
_atom_site_fract_z
_atom_site_occupancy
Ag1 Ag 0.000 0.500 0.250 1
Pt1 Pt 0.000 0.000 0.097 1
Au1 Au 0.000 0.000 0.500 1


iii | # Ag2Pt2Au GGA-PBE relaxed
# - Fermi-level density of states (states/eV/atom) = 0.601
data_Ag2Pt2Au
_symmetry_space_group_name_H-M 'P 4/m b m'
_symmetry_Int_Tables_number 127
_symmetry_space_group_name_Hall '-P 4 2ab'
_cell_length_a 8.070
_cell_length_b 8.070
_cell_length_c 2.786
_cell_angle_alpha 90.00
_cell_angle_beta 90.00
_cell_angle_gamma 90.00
loop_
_atom_site_label
_atom_site_type_symbol
_atom_site_fract_x
_atom_site_fract_y
_atom_site_fract_z
_atom_site_occupancy
Ag1 Ag 0.176 0.324 0.000 1
Pt1 Pt 0.121 0.621 0.500 1
Au1 Au 0.000 0.000 0.000 1


iv | # Ag2Pt2Au GGA-PBE relaxed
# - Fermi-level density of states (states/eV/atom) = 0.852
data_Ag2Pt2Au
_symmetry_space_group_name_H-M 'I 4/m m m'
_symmetry_Int_Tables_number 139
_symmetry_space_group_name_Hall '-I 4 2'
_cell_length_a 3.654
_cell_length_b 3.654
_cell_length_c 14.324
_cell_angle_alpha 90.00
_cell_angle_beta 90.00
_cell_angle_gamma 90.00
loop_
_atom_site_label
_atom_site_type_symbol
_atom_site_fract_x
_atom_site_fract_y
_atom_site_fract_z
_atom_site_occupancy
Ag1 Ag 0.000 0.000 0.096 1
Pt1 Pt 0.000 0.500 0.250 1
Au1 Au 0.000 0.000 0.500 1


It is ii that is the least stable of them.


i | # Ag4PtAu7 GGA-PBE relaxed
# - Fermi-level density of states (states/eV/atom) = 0.336
data_Ag4PtAu7
_symmetry_space_group_name_H-M 'P -1'
_symmetry_Int_Tables_number 2
_cell_length_a 5.799
_cell_length_b 6.502
_cell_length_c 6.586
_cell_angle_alpha 73.32
_cell_angle_beta 78.25
_cell_angle_gamma 63.66
loop_
_symmetry_equiv_pos_as_xyz
'x,y,z'
'-x,-y,-z'
loop_
_atom_site_label
_atom_site_type_symbol
_atom_site_fract_x
_atom_site_fract_y
_atom_site_fract_z
_atom_site_occupancy
Ag1 Ag 0.084 0.167 0.332 1
Ag2 Ag 0.333 0.667 0.334 1
Pt1 Pt 0.500 0.000 0.000 1
Au1 Au 0.000 0.000 0.000 1
Au2 Au 0.169 0.332 0.666 1
Au3 Au 0.253 0.496 0.999 1
Au4 Au 0.415 0.836 0.670 1


ii | # Ag4PtAu7 GGA-PBE relaxed
# - Fermi-level density of states (states/eV/atom) = 0.260
data_Ag4PtAu7
_symmetry_space_group_name_H-M 'C 1 2/m 1'
_symmetry_Int_Tables_number 12
_cell_length_a 10.417
_cell_length_b 5.143
_cell_length_c 10.142
_cell_angle_alpha 90.00
_cell_angle_beta 120.07
_cell_angle_gamma 90.00
loop_
_symmetry_equiv_pos_as_xyz
'x,y,z'
'-x,-y,-z'
'-x,y,-z'
'x,-y,z'
'x+1/2,y+1/2,z'
'-x+1/2,-y+1/2,-z'
'-x+1/2,y+1/2,-z'
'x+1/2,-y+1/2,z'
loop_
_atom_site_label
_atom_site_type_symbol
_atom_site_fract_x
_atom_site_fract_y
_atom_site_fract_z
_atom_site_occupancy
Ag1 Ag 0.159 0.000 0.118 1
Ag2 Ag 0.186 0.500 0.273 1
Pt1 Pt 0.000 0.000 0.500 1
Au1 Au 0.000 0.500 0.500 1
Au2 Au 0.086 0.000 0.808 1
Au3 Au 0.113 0.500 0.959 1
Au4 Au 0.211 0.000 0.415 1


It is ii that is the least stable of them.


i | # Ag6PtAu2 GGA-PBE relaxed
# - Fermi-level density of states (states/eV/atom) = 0.236
data_Ag6PtAu2
_symmetry_space_group_name_H-M 'C 1 2/m 1'
_symmetry_Int_Tables_number 12
_cell_length_a 7.742
_cell_length_b 4.821
_cell_length_c 8.614
_cell_angle_alpha 90.00
_cell_angle_beta 96.50
_cell_angle_gamma 90.00
loop_
_symmetry_equiv_pos_as_xyz
'x,y,z'
'-x,-y,-z'
'-x,y,-z'
'x,-y,z'
'x+1/2,y+1/2,z'
'-x+1/2,-y+1/2,-z'
'-x+1/2,y+1/2,-z'
'x+1/2,-y+1/2,z'
loop_
_atom_site_label
_atom_site_type_symbol
_atom_site_fract_x
_atom_site_fract_y
_atom_site_fract_z
_atom_site_occupancy
Ag1 Ag 0.000 0.000 0.170 1
Ag2 Ag 0.167 0.500 0.609 1
Ag3 Ag 0.168 0.500 0.282 1
Pt1 Pt 0.000 0.000 0.500 1
Au1 Au 0.166 0.500 0.945 1


ii | # Ag6PtAu2 GGA-PBE relaxed
# - Fermi-level density of states (states/eV/atom) = 0.225
data_Ag6PtAu2
_symmetry_space_group_name_H-M 'P -1'
_symmetry_Int_Tables_number 2
_cell_length_a 5.080
_cell_length_b 7.758
_cell_length_c 8.673
_cell_angle_alpha 71.91
_cell_angle_beta 85.44
_cell_angle_gamma 77.07
loop_
_symmetry_equiv_pos_as_xyz
'x,y,z'
'-x,-y,-z'
loop_
_atom_site_label
_atom_site_type_symbol
_atom_site_fract_x
_atom_site_fract_y
_atom_site_fract_z
_atom_site_occupancy
Ag1 Ag 0.025 0.199 0.444 1
Ag2 Ag 0.192 0.363 0.115 1
Ag3 Ag 0.246 0.749 0.003 1
Ag4 Ag 0.366 0.525 0.778 1
Ag5 Ag 0.414 0.917 0.667 1
Ag6 Ag 0.469 0.309 0.554 1
Pt1 Pt 0.076 0.582 0.337 1
Au1 Au 0.141 0.968 0.228 1
Au2 Au 0.302 0.141 0.890 1


It is i that is the least stable of them.


i | # Ag3PtAu GGA-PBE relaxed
# - Fermi-level density of states (states/eV/atom) = 0.313
data_Ag3PtAu
_symmetry_space_group_name_H-M 'C m c e'
_symmetry_Int_Tables_number 64
_symmetry_space_group_name_Hall '-C 2ac 2'
_cell_length_a 10.779
_cell_length_b 9.924
_cell_length_c 6.894
_cell_angle_alpha 90.00
_cell_angle_beta 90.00
_cell_angle_gamma 90.00
loop_
_atom_site_label
_atom_site_type_symbol
_atom_site_fract_x
_atom_site_fract_y
_atom_site_fract_z
_atom_site_occupancy
Ag1 Ag 0.000 0.090 0.173 1
Ag2 Ag 0.152 0.195 0.884 1
Pt1 Pt 0.000 0.123 0.575 1
Au1 Au 0.250 0.050 0.250 1


ii | # Ag3PtAu GGA-PBE relaxed
# - Fermi-level density of states (states/eV/atom) = 0.413
data_Ag3PtAu
_symmetry_space_group_name_H-M 'R -3 m'
_symmetry_Int_Tables_number 166
_symmetry_space_group_name_Hall '-R 3 2"'
_cell_length_a 5.5001
_cell_length_b 5.5001
_cell_length_c 21.0323
_cell_angle_alpha 90.00
_cell_angle_beta 90.00
_cell_angle_gamma 120.00
loop_
_atom_site_label
_atom_site_type_symbol
_atom_site_fract_x
_atom_site_fract_y
_atom_site_fract_z
_atom_site_occupancy
Ag1 Ag 0.0015 0.5008 0.3893 1
Pt1 Pt 0.0000 0.0000 0.1671 1
Au1 Au 0.0000 0.0000 0.4343 1


iii | # Ag3PtAu GGA-PBE relaxed
# - Fermi-level density of states (states/eV/atom) = 0.218
data_Ag3PtAu
_symmetry_space_group_name_H-M 'P m -3 m'
_symmetry_Int_Tables_number 221
_symmetry_space_group_name_Hall '-P 4 2 3'
_cell_length_a 5.078
_cell_length_b 5.078
_cell_length_c 5.078
_cell_angle_alpha 90.00
_cell_angle_beta 90.00
_cell_angle_gamma 90.00
loop_
_atom_site_label
_atom_site_type_symbol
_atom_site_fract_x
_atom_site_fract_y
_atom_site_fract_z
_atom_site_occupancy
Ag1 Ag 0.000 0.000 0.500 1
Pt1 Pt 0.000 0.000 0.000 1
Au1 Au 0.500 0.500 0.500 1


It is iii that is the least stable of them.


i | # AgPtAu GGA-PBE relaxed
# - Fermi-level density of states (states/eV/atom) = 0.725
data_AgPtAu
_symmetry_space_group_name_H-M 'I 4 m m'
_symmetry_Int_Tables_number 107
_symmetry_space_group_name_Hall 'I 4 -2'
_cell_length_a 2.844
_cell_length_b 2.844
_cell_length_c 12.643
_cell_angle_alpha 90.00
_cell_angle_beta 90.00
_cell_angle_gamma 90.00
loop_
_atom_site_label
_atom_site_type_symbol
_atom_site_fract_x
_atom_site_fract_y
_atom_site_fract_z
_atom_site_occupancy
Ag1 Ag 0.000 0.000 0.000 1
Pt1 Pt 0.000 0.000 0.664 1
Au1 Au 0.000 0.000 0.328 1


ii | # AgPtAu GGA-PBE relaxed
# - Fermi-level density of states (states/eV/atom) = 0.386
data_AgPtAu
_symmetry_space_group_name_H-M 'I 21 21 21'
_symmetry_Int_Tables_number 24
_cell_length_a 5.257
_cell_length_b 5.545
_cell_length_c 7.547
_cell_angle_alpha 90.00
_cell_angle_beta 90.00
_cell_angle_gamma 90.00
loop_
_symmetry_equiv_pos_as_xyz
'x,y,z'
'-x,-y+1/2,z'
'x,-y,-z+1/2'
'-x,y+1/2,-z+1/2'
'x+1/2,y+1/2,z+1/2'
'-x+1/2,-y,z+1/2'
'x+1/2,-y+1/2,-z'
'-x+1/2,y,-z'
loop_
_atom_site_label
_atom_site_type_symbol
_atom_site_fract_x
_atom_site_fract_y
_atom_site_fract_z
_atom_site_occupancy
Ag1 Ag 0.000 0.250 0.125 1
Pt1 Pt 0.250 0.298 0.500 1
Au1 Au 0.051 0.000 0.750 1


It is ii that is the least stable of them.


i | # Ag5Pt2Au4 GGA-PBE relaxed
# - Fermi-level density of states (states/eV/atom) = 0.374
data_Ag5Pt2Au4
_symmetry_space_group_name_H-M 'P 1 2/m 1'
_symmetry_Int_Tables_number 10
_cell_length_a 7.399
_cell_length_b 2.862
_cell_length_c 9.357
_cell_angle_alpha 90.00
_cell_angle_beta 94.88
_cell_angle_gamma 90.00
loop_
_symmetry_equiv_pos_as_xyz
'x,y,z'
'-x,-y,-z'
'-x,y,-z'
'x,-y,z'
loop_
_atom_site_label
_atom_site_type_symbol
_atom_site_fract_x
_atom_site_fract_y
_atom_site_fract_z
_atom_site_occupancy
Ag1 Ag 0.000 0.000 0.000 1
Ag2 Ag 0.055 0.000 0.308 1
Ag3 Ag 0.315 0.000 0.844 1
Pt1 Pt 0.432 0.000 0.363 1
Au1 Au 0.227 0.500 0.567 1
Au2 Au 0.317 0.500 0.115 1


ii | # Ag5Pt2Au4 GGA-PBE relaxed
# - Fermi-level density of states (states/eV/atom) = 0.374
data_Ag5Pt2Au4
_symmetry_space_group_name_H-M 'I m m m'
_symmetry_Int_Tables_number 71
_symmetry_space_group_name_Hall '-I 2 2'
_cell_length_a 4.344
_cell_length_b 5.702
_cell_length_c 18.459
_cell_angle_alpha 90.00
_cell_angle_beta 90.00
_cell_angle_gamma 90.00
loop_
_atom_site_label
_atom_site_type_symbol
_atom_site_fract_x
_atom_site_fract_y
_atom_site_fract_z
_atom_site_occupancy
Ag1 Ag 0.000 0.000 0.000 1
Ag2 Ag 0.000 0.249 0.349 1
Pt1 Pt 0.000 0.500 0.073 1
Au1 Au 0.000 0.236 0.500 1
Au2 Au 0.000 0.500 0.220 1


It is ii that is the least stable of them.


i | # AgPt2Au4 GGA-PBE relaxed
# - Fermi-level density of states (states/eV/atom) = 0.435
data_AgPt2Au4
_symmetry_space_group_name_H-M 'C m c e'
_symmetry_Int_Tables_number 64
_symmetry_space_group_name_Hall '-C 2ac 2'
_cell_length_a 5.325
_cell_length_b 9.986
_cell_length_c 9.720
_cell_angle_alpha 90.00
_cell_angle_beta 90.00
_cell_angle_gamma 90.00
loop_
_atom_site_label
_atom_site_type_symbol
_atom_site_fract_x
_atom_site_fract_y
_atom_site_fract_z
_atom_site_occupancy
Ag1 Ag 0.000 0.000 0.000 1
Pt1 Pt 0.000 0.127 0.450 1
Au1 Au 0.000 0.217 0.178 1
Au2 Au 0.250 0.043 0.750 1


ii | # AgPt2Au4 GGA-PBE relaxed
# - Fermi-level density of states (states/eV/atom) = 0.385
data_AgPt2Au4
_symmetry_space_group_name_H-M 'P 1'
_symmetry_Int_Tables_number 1
_cell_length_a 5.025
_cell_length_b 6.470
_cell_length_c 7.667
_cell_angle_alpha 85.43
_cell_angle_beta 77.44
_cell_angle_gamma 82.53
loop_
_symmetry_equiv_pos_as_xyz
'x,y,z'
loop_
_atom_site_label
_atom_site_type_symbol
_atom_site_fract_x
_atom_site_fract_y
_atom_site_fract_z
_atom_site_occupancy
Ag1 Ag 0.000 0.000 0.000 1
Ag2 Ag 0.146 0.710 0.712 1
Pt1 Pt 0.287 0.424 0.430 1
Pt2 Pt 0.575 0.851 0.854 1
Pt3 Pt 0.717 0.568 0.568 1
Pt4 Pt 0.855 0.292 0.292 1
Au1 Au 0.068 0.855 0.358 1
Au2 Au 0.213 0.569 0.072 1
Au3 Au 0.365 0.281 0.785 1
Au4 Au 0.429 0.140 0.146 1
Au5 Au 0.505 0.996 0.502 1
Au6 Au 0.637 0.711 0.213 1
Au7 Au 0.788 0.430 0.927 1
Au8 Au 0.933 0.143 0.642 1


It is i that is the least stable of them.


i | # AgPtAu3 GGA-PBE relaxed
# - Fermi-level density of states (states/eV/atom) = 0.466
data_AgPtAu3
_symmetry_space_group_name_H-M 'C 1 2/c 1'
_symmetry_Int_Tables_number 15
_cell_length_a 12.201
_cell_length_b 9.229
_cell_length_c 8.048
_cell_angle_alpha 90.00
_cell_angle_beta 125.13
_cell_angle_gamma 90.00
loop_
_symmetry_equiv_pos_as_xyz
'x,y,z'
'-x,-y,-z'
'-x,y,-z+1/2'
'x,-y,z+1/2'
'x+1/2,y+1/2,z'
'-x+1/2,-y+1/2,-z'
'-x+1/2,y+1/2,-z+1/2'
'x+1/2,-y+1/2,z+1/2'
loop_
_atom_site_label
_atom_site_type_symbol
_atom_site_fract_x
_atom_site_fract_y
_atom_site_fract_z
_atom_site_occupancy
Ag1 Ag 0.000 0.039 0.250 1
Ag2 Ag 0.000 0.434 0.750 1
Pt1 Pt 0.135 0.301 0.305 1
Au1 Au 0.104 0.215 0.605 1
Au2 Au 0.152 0.186 0.004 1
Au3 Au 0.224 0.491 0.639 1


ii | # AgPtAu3 GGA-PBE relaxed
# - Fermi-level density of states (states/eV/atom) = 0.354
data_AgPtAu3
_symmetry_space_group_name_H-M 'P -1'
_symmetry_Int_Tables_number 2
_cell_length_a 4.960
_cell_length_b 4.988
_cell_length_c 7.759
_cell_angle_alpha 84.67
_cell_angle_beta 71.50
_cell_angle_gamma 73.60
loop_
_symmetry_equiv_pos_as_xyz
'x,y,z'
'-x,-y,-z'
loop_
_atom_site_label
_atom_site_type_symbol
_atom_site_fract_x
_atom_site_fract_y
_atom_site_fract_z
_atom_site_occupancy
Ag1 Ag 0.152 0.250 0.195 1
Pt1 Pt 0.352 0.250 0.796 1
Au1 Au 0.053 0.750 0.394 1
Au2 Au 0.252 0.750 0.997 1
Au3 Au 0.450 0.750 0.599 1


It is i that is the least stable of them.


i | # AgPtAu3 GGA-PBE relaxed
# - Fermi-level density of states (states/eV/atom) = 0.739
data_AgPtAu3
_symmetry_space_group_name_H-M 'P m -3 m'
_symmetry_Int_Tables_number 221
_symmetry_space_group_name_Hall '-P 4 2 3'
_cell_length_a 5.074
_cell_length_b 5.074
_cell_length_c 5.074
_cell_angle_alpha 90.00
_cell_angle_beta 90.00
_cell_angle_gamma 90.00
loop_
_atom_site_label
_atom_site_type_symbol
_atom_site_fract_x
_atom_site_fract_y
_atom_site_fract_z
_atom_site_occupancy
Ag1 Ag 0.000 0.000 0.000 1
Pt1 Pt 0.500 0.500 0.500 1
Au1 Au 0.000 0.500 0.500 1


ii | # AgPtAu3 GGA-PBE relaxed
# - Fermi-level density of states (states/eV/atom) = 0.382
data_AgPtAu3
_symmetry_space_group_name_H-M 'P m -3 m'
_symmetry_Int_Tables_number 221
_symmetry_space_group_name_Hall '-P 4 2 3'
_cell_length_a 4.979
_cell_length_b 4.979
_cell_length_c 4.979
_cell_angle_alpha 90.00
_cell_angle_beta 90.00
_cell_angle_gamma 90.00
loop_
_atom_site_label
_atom_site_type_symbol
_atom_site_fract_x
_atom_site_fract_y
_atom_site_fract_z
_atom_site_occupancy
Ag1 Ag 0.000 0.000 0.000 1
Pt1 Pt 0.500 0.500 0.500 1
Au1 Au 0.000 0.000 0.500 1


It is ii that is the least stable of them.